(1)
Entry from the Alexandria database: crystalline TbCeV at its relaxed geometry (PBE-GGA).

Results
* calculated density: 7.9 g cm⁻³
* ΔE_f: 0.281 eV per atom

Unit cell a=12.8234 b=3.3293 c=8.2921 alpha=90.00 beta=123.26 gamma=90.00
Space group C2/m (No. 12)
One atom of each set of equivalent atoms:
Tb  0.0904  0.0000  0.2476
Ce  0.1361  0.5000  0.6936
V  0.1632  0.5000  0.9888

(2)
Entry from the Alexandria database: crystalline Tb6CeY12 at its relaxed geometry (PBE-GGA).

Results
* calculated density: 5.6 g cm⁻³
* ΔE_f: 0.142 eV per atom

Unit cell a=13.1281 b=13.1281 c=12.7938 alpha=90.00 beta=90.00 gamma=120.00
Space group R-3m (No. 166, hexagonal axes)
One atom of each set of equivalent atoms:
Tb  0.0894  0.1788  0.2717
Ce  0.0000  0.0000  0.5000
Y  0.0000  0.2630  0.5000
Y  0.0516  0.5258  0.6165

(3)
Entry from the Alexandria database: crystalline Tb4CeY2 at its relaxed geometry (PBE-GGA).

Results
* calculated density: 7.1 g cm⁻³
* ΔE_f: 0.038 eV per atom
* energy above the lowest structure with this stoichiometry: 0 meV per atom

Unit cell a=6.2249 b=3.5957 c=20.1754 alpha=90.00 beta=95.92 gamma=90.00
Space group Cm (No. 8)
One atom of each set of equivalent atoms:
Tb  0.0000  0.0000  0.0000
Tb  0.0225  0.5000  0.5715
Tb  0.0952  0.0000  0.2849
Tb  0.1179  0.5000  0.8573
Ce  0.4037  0.5000  0.7143
Y  0.2142  0.5000  0.1427
Y  0.3090  0.5000  0.4284

(4)
Entry from the Alexandria database: crystalline Tb2CeY4 at its relaxed geometry (PBE-GGA).

Results
* calculated density: 6.0 g cm⁻³
* ΔE_f: 0.035 eV per atom
* energy above the lowest structure with this stoichiometry: 0 meV per atom

Unit cell a=6.2373 b=3.6023 c=20.2023 alpha=90.00 beta=95.91 gamma=90.00
Space group Cm (No. 8)
One atom of each set of equivalent atoms:
Tb  0.0000  0.0000  0.0000
Tb  0.0947  0.0000  0.2851
Ce  0.4051  0.5000  0.7140
Y  0.1907  0.0000  0.5706
Y  0.2138  0.5000  0.1430
Y  0.2865  0.0000  0.8574
Y  0.3090  0.5000  0.4281

(5)
Entry from the Alexandria database: crystalline Tb2CeY at its relaxed geometry (PBE-GGA).

Results
* calculated density: 7.2 g cm⁻³
* ΔE_f: 0.060 eV per atom
* energy above the lowest structure with this stoichiometry: 3 meV per atom

Unit cell a=3.5408 b=3.5408 c=10.0312 alpha=90.00 beta=90.00 gamma=90.00
Space group P4/mmm (No. 123)
One atom of each set of equivalent atoms:
Tb  0.0000  0.0000  0.2435
Ce  0.5000  0.5000  0.0000
Y  0.5000  0.5000  0.5000

(6)
Entry from the Alexandria database: crystalline Tb2CeY at its relaxed geometry (PBE-GGA).

Results
* calculated density: 7.2 g cm⁻³
* ΔE_f: 0.057 eV per atom
* energy above the lowest structure with this stoichiometry: 0 meV per atom

Unit cell a=3.5378 b=3.5378 c=34.7697 alpha=90.00 beta=90.00 gamma=120.00
Space group R-3m (No. 166, hexagonal axes)
One atom of each set of equivalent atoms:
Tb  0.0000  0.0000  0.2489
Ce  0.0000  0.0000  0.5000
Y  0.0000  0.0000  0.0000

(7)
Entry from the Alexandria database: crystalline Tb12CeY6 at its relaxed geometry (PBE-GGA).

Results
* calculated density: 6.7 g cm⁻³
* ΔE_f: 0.213 eV per atom

Unit cell a=13.3092 b=13.3092 c=12.4377 alpha=90.00 beta=90.00 gamma=120.00
Space group R-3m (No. 166, hexagonal axes)
One atom of each set of equivalent atoms:
Tb  0.0000  0.2557  0.0000
Tb  0.0913  0.1825  0.7597
Ce  0.0000  0.0000  0.5000
Y  0.0399  0.5200  0.1233

(8)
Entry from the Alexandria database: crystalline Tb7CeY12 at its relaxed geometry (PBE-GGA).

Results
* calculated density: 5.3 g cm⁻³
* ΔE_f: 0.701 eV per atom
* energy above the lowest structure with this stoichiometry: 532 meV per atom

Unit cell a=11.3304 b=11.3304 c=11.3304 alpha=90.00 beta=90.00 gamma=90.00
Space group Im-3m (No. 229)
One atom of each set of equivalent atoms:
Tb  0.0000  0.0000  0.5000
Tb  0.2500  0.2500  0.2500
Ce  0.0000  0.0000  0.0000
Y  0.0000  0.2540  0.2540